The following is a PBE-GGA calculation of an optimized crystal structure of Be2CoIr, from Alexandria.

Cell and atoms, written as extended XYZ:
```
4
Lattice="3.581 0.000 0.000 0.000 1.384 4.096 0.000 -1.384 4.096" Properties=species:S:1:pos:R:3 pbc="T T T"
Be 0.000 0.000 0.000
Be 1.790 0.000 1.286
Co 0.000 0.000 5.910
Ir 1.790 0.000 3.535
```

## Properties
The energy relative to the elements comes out at -355 meV per atom. The space group is Amm2 (38). The spin magnetization is 0.28 μB per atom.